Ca2RePt after structural relaxation. Source: the Alexandria database, functional GGA-PBE.

Properties
ΔH_f (0 K) = 60 meV/atom
Polymorph energy (0 for the lowest one) = 0 meV/atom
Final energy = -44.5 eV per cell

Structure (CIF):
```
data_Ca2RePt
_chemical_formula_sum 'Ca4 Re2 Pt2'
_space_group_name_H-M_alt 'C 1 m 1'
_space_group_IT_number 8
_cell_length_a 11.360
_cell_length_b 2.897
_cell_length_c 5.450
_cell_angle_alpha 90.00
_cell_angle_beta 110.53
_cell_angle_gamma 90.00
loop_
_space_group_symop_operation_xyz
'x,y,z'
'x,-y,z'
'x+1/2,y+1/2,z'
'x+1/2,-y+1/2,z'
loop_
_atom_site_label
_atom_site_fract_x
_atom_site_fract_y
_atom_site_fract_z
Ca1 0.000 0.000 0.000
Ca2 0.198 0.000 0.606
Re1 0.264 0.500 0.147
Pt1 0.447 0.000 0.485
```